# 1
! GGA-PBE Ti2CoP, relaxed; values from VASP
&SYSTEM
  ibrav = 0, nat = 8, ntyp = 3
/
ATOMIC_SPECIES
P 30.97 P.upf
Co 58.93 Co.upf
Ti 47.87 Ti.upf
CELL_PARAMETERS angstrom
-5.575 3.408 0.790
-3.346 -4.759 -3.078
-4.874 -1.892 1.186
ATOMIC_POSITIONS crystal
P 0.500 0.500 0.000
P 0.250 0.750 0.500
Co 0.000 0.000 0.000
Co 0.750 0.250 0.500
Ti 0.636 0.125 0.250
Ti 0.114 0.625 0.250
Ti 0.375 0.364 0.750
Ti 0.875 0.886 0.750
! total magnetization: 0.00 μB per formula unit
! energy of formation from the pure elements: -1.2 eV/f.u.
! V: 115.3 Å³/cell

---

# 2
! GGA-PBE HoTaCu, relaxed; values from VASP
&SYSTEM
  ibrav = 0, nat = 6, ntyp = 3
/
ATOMIC_SPECIES
Cu 63.55 Cu.upf
Ho 164.93 Ho.upf
Ta 180.95 Ta.upf
CELL_PARAMETERS angstrom
4.531 0.000 0.000
-2.266 2.268 0.000
0.000 0.000 11.339
ATOMIC_POSITIONS crystal
Cu 0.694 0.389 0.000
Cu 0.194 0.389 0.500
Ho 0.694 0.389 0.329
Ho 0.694 0.389 0.671
Ta 0.194 0.389 0.865
Ta 0.194 0.389 0.135
! total magnetization: 0.00 μB per formula unit
! energy of formation from the pure elements: 0.3 eV/f.u.
! V: 116.5 Å³/cell

---

# 3
! GGA-PBE Zr2Mo, relaxed; values from VASP
&SYSTEM
  ibrav = 0, nat = 6, ntyp = 2
/
ATOMIC_SPECIES
Zr 91.22 Zr.upf
Mo 95.94 Mo.upf
CELL_PARAMETERS angstrom
1.693 5.397 0.004
-1.693 5.397 0.004
0.000 1.996 6.677
ATOMIC_POSITIONS crystal
Zr 0.639 0.639 0.222
Zr 0.950 0.950 0.541
Zr 0.639 0.639 0.722
Zr 0.328 0.328 0.904
Mo 0.967 0.967 0.077
Mo 0.310 0.310 0.368
! total magnetization: 0.00 μB per formula unit
! energy of formation from the pure elements: 0.1 eV/f.u.
! V: 122.0 Å³/cell